DFT (PBE-GGA) results for an optimized crystal structure of LaTb4In.

```
LaTb4In
1.0
3.629 0.000 0.000
0.000 3.629 0.000
0.000 0.000 14.304
La Tb In
1 4 1
direct
0.000 0.000 0.000 La
0.500 0.500 0.181 Tb
0.000 0.000 0.645 Tb
0.000 0.000 0.355 Tb
0.500 0.500 0.819 Tb
0.500 0.500 0.500 In
```

Summary:
Total magnetization = 0.00 μB/atom
ρ = 7.84 g/cm3
DOS(E_F) = 7.516 states/eV/cell
Energy of formation = -0.14 eV per atom